(1)
# HfReCl2O (PBE-GGA, relaxed)
data_HfReCl2O
_chemical_formula_sum 'Hf1 Re1 Cl2 O1'
_space_group_name_H-M_alt 'P 4/m m m'
_space_group_IT_number 123
_space_group_name_Hall '-P 4 2'
_cell_length_a 5.235
_cell_length_b 5.235
_cell_length_c 3.959
_cell_angle_alpha 90.00
_cell_angle_beta 90.00
_cell_angle_gamma 90.00
loop_
_atom_site_label
_atom_site_type_symbol
_atom_site_fract_x
_atom_site_fract_y
_atom_site_fract_z
Hf1 Hf 0.000 0.000 0.000
Re1 Re 0.500 0.500 0.500
Cl1 Cl 0.000 0.500 0.000
O1 O 0.000 0.000 0.500
# Total DFT energy (no corrections): -32.22 eV for the cell shown
# ΔE_f (raw): -0.2337 eV/atom
# Magnetization: 5.07 μB/f.u.
# DOS at the Fermi energy: 0.398 states/eV per atom
# Crystal system: tetragonal

---

(2)
# Mo2Ir2Ru3 (PBE-GGA, relaxed)
data_Mo2Ir2Ru3
_chemical_formula_sum 'Mo4 Ir4 Ru6'
_space_group_name_H-M_alt 'C 1 2/m 1'
_space_group_IT_number 12
_cell_length_a 8.633
_cell_length_b 3.883
_cell_length_c 6.198
_cell_angle_alpha 90.00
_cell_angle_beta 99.29
_cell_angle_gamma 90.00
loop_
_space_group_symop_operation_xyz
'x,y,z'
'-x,-y,-z'
'-x,y,-z'
'x,-y,z'
'x+1/2,y+1/2,z'
'-x+1/2,-y+1/2,-z'
'-x+1/2,y+1/2,-z'
'x+1/2,-y+1/2,z'
loop_
_atom_site_label
_atom_site_type_symbol
_atom_site_fract_x
_atom_site_fract_y
_atom_site_fract_z
Mo1 Mo 0.206 0.000 0.150
Ir1 Ir 0.140 0.500 0.425
Ru1 Ru 0.000 0.500 0.000
Ru2 Ru 0.079 0.000 0.722
# E_form: -0.0572 eV per atom
# Total DFT energy (no corrections): -135.22 eV for the cell shown
# Magnetization: 0.00 μB/f.u.
# DOS at the Fermi energy: 1.055 states/eV per atom
# Crystal system: monoclinic

---

(3)
# PmPa2Ni9 (PBE-GGA, relaxed)
data_PmPa2Ni9
_chemical_formula_sum 'Pm3 Pa6 Ni27'
_space_group_name_H-M_alt 'R -3 m'
_space_group_IT_number 166
_space_group_name_Hall '-R 3 2"'
_cell_length_a 4.9402
_cell_length_b 4.9402
_cell_length_c 24.6529
_cell_angle_alpha 90.00
_cell_angle_beta 90.00
_cell_angle_gamma 120.00
loop_
_atom_site_label
_atom_site_type_symbol
_atom_site_fract_x
_atom_site_fract_y
_atom_site_fract_z
Pm1 Pm 0.0000 0.0000 0.0000
Pa1 Pa 0.0000 0.0000 0.1395
Ni1 Ni 0.0000 0.0000 0.3330
Ni2 Ni 0.0000 0.0000 0.5000
Ni3 Ni 0.0013 0.5006 0.9164
# E_form: -0.3924 eV per atom
# Total DFT energy (no corrections): -241.45 eV for the cell shown
# Magnetization: 0.00 μB/f.u.
# DOS at the Fermi energy: 1.019 states/eV per atom
# Crystal system: trigonal

---

(4)
# KSrOs2O8 (PBE-GGA, relaxed)
data_KSrOs2O8
_chemical_formula_sum 'K2 Sr2 Os4 O16'
_space_group_name_H-M_alt 'I -4 m 2'
_space_group_IT_number 119
_space_group_name_Hall 'I -4 -2'
_cell_length_a 7.945
_cell_length_b 7.945
_cell_length_c 7.017
_cell_angle_alpha 90.00
_cell_angle_beta 90.00
_cell_angle_gamma 90.00
loop_
_atom_site_label
_atom_site_type_symbol
_atom_site_fract_x
_atom_site_fract_y
_atom_site_fract_z
K1 K 0.000 0.000 0.000
Sr1 Sr 0.000 0.500 0.250
Os1 Os 0.000 0.000 0.500
Os2 Os 0.000 0.500 0.750
O1 O 0.000 0.185 0.354
O2 O 0.000 0.327 0.913
# Total DFT energy (no corrections): -164.47 eV for the cell shown
# ΔE_f (raw): -1.4440 eV/atom
# Magnetization: 3.01 μB/f.u.
# DOS at the Fermi energy: 0.755 states/eV per atom
# Crystal system: tetragonal